(1)
The following is a DFT calculation (PBE) of crystalline ZrNbTc4 at its relaxed geometry.

a b c (Å): 5.2187 5.2187 5.2187
angles (deg): 60.00 60.00 60.00
With the nearest neighbours (Å) after each atom.
Fractional positions:
Tc1 0.1251 0.6250 0.6250  6 Tc 2.61
Tc2 0.6250 0.6250 0.1251  6 Tc 2.61
Zr1 0.2500 0.2500 0.2500  12 Tc 3.06, 4 Nb 3.20
Tc3 0.6250 0.1251 0.6250  6 Tc 2.61
Tc4 0.6250 0.6250 0.6250  6 Tc 2.61
Nb1 0.0000 0.0000 0.0000  12 Tc 3.06, 4 Zr 3.20

Output
total DFT energy (no corrections): -10.184 eV/atom
energy of formation from the pure elements: -0.17 eV per atom

(2)
The following is a DFT calculation (PBE) of crystalline ZrNb3Tc at its relaxed geometry.

a b c (Å): 4.8066 4.8066 4.8066
angles (deg): 90.00 90.00 90.00
With the nearest neighbours (Å) after each atom.
Fractional positions:
Tc1 0.5000 0.5000 0.5000  12 Nb 3.40
Nb1 0.0000 0.0000 0.5000  2 Zr 2.40
Nb2 0.5000 0.0000 0.0000  2 Zr 2.40
Nb3 0.0000 0.5000 0.0000  2 Zr 2.40
Zr1 0.0000 0.0000 0.0000  6 Nb 2.40

Output
total DFT energy (no corrections): -7.820 eV/atom
energy of formation from the pure elements: 2.00 eV per atom

(3)
The following is a DFT calculation (PBE) of crystalline ZrNbTc at its relaxed geometry.

a b c (Å): 5.5474 4.8149 9.6813
angles (deg): 90.00 123.37 90.00
With the nearest neighbours (Å) after each atom.
Fractional positions:
Tc1 0.8422 0.0000 0.1739  3 Zr 2.75-2.80, 3 Nb 2.77-2.95, 2 Tc 2.86
Nb1 0.0000 0.0000 0.5000  2 Tc 2.77, 2 Nb 2.77, 4 Zr 2.89
Zr1 0.3284 0.5000 0.6545  3 Tc 2.75-2.80, 3 Nb 2.89-2.93, 2 Zr 2.99
Tc2 0.8422 0.5000 0.6739  3 Zr 2.75-2.80, 3 Nb 2.77-2.95, 2 Tc 2.86
Tc3 0.1578 0.0000 0.8261  3 Zr 2.75-2.80, 3 Nb 2.77-2.95, 2 Tc 2.86
Zr2 0.3284 0.0000 0.1545  3 Tc 2.75-2.80, 3 Nb 2.89-2.93, 2 Zr 2.99
Zr3 0.6716 0.5000 0.3455  3 Tc 2.75-2.80, 3 Nb 2.89-2.93, 2 Zr 2.99
Nb2 0.5000 0.0000 0.5000  2 Nb 2.77, 2 Zr 2.93, 4 Tc 2.95
Nb3 0.5000 0.5000 0.0000  2 Nb 2.77, 2 Zr 2.93, 4 Tc 2.95
Nb4 0.0000 0.5000 0.0000  2 Tc 2.77, 2 Nb 2.77, 4 Zr 2.89
Zr4 0.6716 0.0000 0.8455  3 Tc 2.75-2.80, 3 Nb 2.89-2.93, 2 Zr 2.99
Tc4 0.1578 0.5000 0.3261  3 Zr 2.75-2.80, 3 Nb 2.77-2.95, 2 Tc 2.86

Output
total DFT energy (no corrections): -9.773 eV/atom
energy of formation from the pure elements: -0.11 eV per atom

(4)
The following is a DFT calculation (PBE) of crystalline ZrNbTc at its relaxed geometry.

a b c (Å): 6.5431 3.2608 10.6833
angles (deg): 90.00 107.88 90.00
With the nearest neighbours (Å) after each atom.
Fractional positions:
Tc1 0.0000 0.5000 0.0000  4 Zr 2.78, 4 Nb 2.80
Tc2 0.5000 0.0000 0.5000  4 Zr 2.80, 4 Nb 2.82
Tc3 0.0000 0.0000 0.5000  4 Zr 2.78, 4 Nb 2.80
Zr1 0.6753 0.5000 0.3457  4 Tc 2.78-2.80, 2 Nb 3.01, 2 Zr 3.04
Nb1 0.8323 0.0000 0.1573  4 Tc 2.80-2.82, 2 Nb 2.95, 2 Zr 3.01
Nb2 0.1677 0.0000 0.8427  4 Tc 2.80-2.82, 2 Nb 2.95, 2 Zr 3.01
Tc4 0.5000 0.5000 0.0000  4 Zr 2.80, 4 Nb 2.82
Zr2 0.3247 0.5000 0.6543  4 Tc 2.78-2.80, 2 Nb 3.01, 2 Zr 3.04
Nb3 0.1677 0.5000 0.3427  4 Tc 2.80-2.82, 2 Nb 2.95, 2 Zr 3.01
Zr3 0.3247 0.0000 0.1543  4 Tc 2.78-2.80, 2 Nb 3.01, 2 Zr 3.04
Zr4 0.6753 0.0000 0.8457  4 Tc 2.78-2.80, 2 Nb 3.01, 2 Zr 3.04
Nb4 0.8323 0.5000 0.6573  4 Tc 2.80-2.82, 2 Nb 2.95, 2 Zr 3.01

Output
total DFT energy (no corrections): -9.903 eV/atom
energy of formation from the pure elements: -0.24 eV per atom

(5)
The following is a DFT calculation (PBE) of crystalline ZrNbTc at its relaxed geometry.

a b c (Å): 5.6798 4.5624 10.1356
angles (deg): 90.00 124.03 90.00
With the nearest neighbours (Å) after each atom.
Fractional positions:
Zr1 0.0337 0.0000 0.1010  3 Tc 2.82-2.90, 4 Nb 2.83-2.97, 1 Zr 3.05
Tc1 0.5266 0.5000 0.9275  4 Nb 2.73-2.89, 3 Zr 2.85-2.90, 1 Tc 2.95
Zr2 0.5196 0.0000 0.7560  4 Tc 2.82-2.86, 3 Nb 2.94-3.06, 1 Zr 3.05
Nb1 0.0136 0.0000 0.4073  4 Tc 2.73-2.89, 2 Zr 2.97, 1 Nb 3.00
Tc2 0.0206 0.0000 0.7608  3 Nb 2.73-2.78, 4 Zr 2.82-2.86, 1 Tc 2.95
Nb2 0.5059 0.0000 0.0685  3 Tc 2.73-2.78, 4 Zr 2.83-2.94, 1 Nb 3.00
Zr3 0.5196 0.5000 0.2560  4 Tc 2.82-2.86, 3 Nb 2.94-3.06, 1 Zr 3.05
Tc3 0.0206 0.5000 0.2608  3 Nb 2.73-2.78, 4 Zr 2.82-2.86, 1 Tc 2.95
Nb3 0.0136 0.5000 0.9073  4 Tc 2.73-2.89, 2 Zr 2.97, 1 Nb 3.00
Zr4 0.0337 0.5000 0.6010  3 Tc 2.82-2.90, 4 Nb 2.83-2.97, 1 Zr 3.05
Tc4 0.5266 0.0000 0.4275  4 Nb 2.73-2.89, 3 Zr 2.85-2.90, 1 Tc 2.95
Nb4 0.5059 0.5000 0.5685  3 Tc 2.73-2.78, 4 Zr 2.83-2.94, 1 Nb 3.00

Output
total DFT energy (no corrections): -9.850 eV/atom
energy of formation from the pure elements: -0.19 eV per atom

(6)
The following is a DFT calculation (PBE) of crystalline ZrNb2Tc2 at its relaxed geometry.

a b c (Å): 3.1936 3.2183 8.9171
angles (deg): 79.60 90.00 90.00
With the nearest neighbours (Å) after each atom.
Fractional positions:
Tc1 0.5000 0.4015 0.1970  4 Nb 2.71, 4 Zr 2.85
Zr1 0.0000 0.0000 0.0000  8 Tc 2.85
Tc2 0.5000 0.5985 0.8030  4 Nb 2.71, 4 Zr 2.85
Nb1 0.0000 0.8167 0.3666  4 Tc 2.71, 2 Nb 2.84
Nb2 0.0000 0.1833 0.6334  4 Tc 2.71, 2 Nb 2.84

Output
total DFT energy (no corrections): -9.911 eV/atom
energy of formation from the pure elements: -0.03 eV per atom

(7)
The following is a DFT calculation (PBE) of crystalline Zr6NbTc5 at its relaxed geometry.

a b c (Å): 4.6921 6.6733 7.3852
angles (deg): 90.00 108.58 90.00
With the nearest neighbours (Å) after each atom.
Fractional positions:
Tc1 0.0000 0.5000 0.0000  8 Zr 2.85-2.89
Zr1 0.1700 0.2544 0.3402  7 Tc 2.80-2.90, 1 Nb 2.92
Zr2 0.1700 0.7456 0.3402  7 Tc 2.80-2.90, 1 Nb 2.92
Zr3 0.8300 0.2544 0.6598  7 Tc 2.80-2.90, 1 Nb 2.92
Tc2 0.3328 0.5000 0.6649  8 Zr 2.80-2.86
Zr4 0.5000 0.2585 0.0000  6 Tc 2.85, 2 Nb 2.91
Tc3 0.3378 0.0000 0.6751  8 Zr 2.85-2.90
Tc4 0.6622 0.0000 0.3249  8 Zr 2.85-2.90
Tc5 0.6672 0.5000 0.3351  8 Zr 2.80-2.86
Zr5 0.5000 0.7415 0.0000  6 Tc 2.85, 2 Nb 2.91
Zr6 0.8300 0.7456 0.6598  7 Tc 2.80-2.90, 1 Nb 2.92
Nb1 0.0000 0.0000 0.0000  8 Zr 2.91-2.92

Output
total DFT energy (no corrections): -9.701 eV/atom
energy of formation from the pure elements: -0.27 eV per atom

(8)
The following is a DFT calculation (PBE) of crystalline Zr12Nb3Tc5 at its relaxed geometry.

a b c (Å): 13.6059 13.6059 13.6059
angles (deg): 109.47 109.47 109.47
With the nearest neighbours (Å) after each atom.
Fractional positions:
Zr1 0.3842 0.4297 0.1025  2 Tc 2.53-2.59, 1 Nb 2.82
Zr2 0.6158 0.0456 0.2183  2 Tc 2.53-2.59, 1 Nb 2.82
Zr3 0.6727 0.4544 0.5703  2 Tc 2.53-2.59, 1 Nb 2.82
Zr4 0.8975 0.0703 0.6158  2 Tc 2.53-2.59, 1 Nb 2.82
Zr5 0.9544 0.3842 0.2817  2 Tc 2.53-2.59, 1 Nb 2.82
Nb1 0.1250 0.2500 0.8750  8 Zr 2.82-3.15
Tc1 0.3750 0.2500 0.1250  4 Zr 2.53
Tc2 0.5000 0.5000 0.5000  6 Zr 2.59
Nb2 0.8750 0.7500 0.1250  8 Zr 2.82-3.15
Nb3 0.7500 0.8750 0.6250  8 Zr 2.82-3.15
Zr6 0.9544 0.5703 0.1727  2 Tc 2.53-2.59, 1 Nb 2.82
Tc3 0.0000 0.5000 0.5000  6 Zr 2.59
Zr7 0.1025 0.9297 0.3842  2 Tc 2.53-2.59, 1 Nb 2.82
Zr8 0.3273 0.7817 0.3975  2 Tc 2.53-2.59, 1 Nb 2.82
Zr9 0.5703 0.6158 0.3975  2 Tc 2.53-2.59, 1 Nb 2.82
Tc4 0.5000 0.0000 0.0000  6 Zr 2.59
Tc5 0.6250 0.7500 0.8750  4 Zr 2.53
Zr10 0.0456 0.4297 0.8273  2 Tc 2.53-2.59, 1 Nb 2.82
Zr11 0.0703 0.1727 0.4544  2 Tc 2.53-2.59, 1 Nb 2.82
Zr12 0.2817 0.3975 0.8273  2 Tc 2.53-2.59, 1 Nb 2.82
Zr13 0.4297 0.0456 0.3273  2 Tc 2.53-2.59, 1 Nb 2.82
Zr14 0.7183 0.6025 0.1727  2 Tc 2.53-2.59, 1 Nb 2.82
Tc6 0.0000 0.5000 0.0000  6 Zr 2.59
Nb4 0.2500 0.1250 0.3750  8 Zr 2.82-3.15
Zr15 0.0703 0.8975 0.1158  2 Tc 2.53-2.59, 1 Nb 2.82
Tc7 0.8750 0.6250 0.7500  4 Zr 2.53
Zr16 0.3273 0.5456 0.4297  2 Tc 2.53-2.59, 1 Nb 2.82
Zr17 0.8273 0.8975 0.2817  2 Tc 2.53-2.59, 1 Nb 2.82
Zr18 0.4297 0.3842 0.6025  2 Tc 2.53-2.59, 1 Nb 2.82
Tc8 0.0000 0.0000 0.0000  6 Zr 2.59
Zr19 0.2817 0.8842 0.9544  2 Tc 2.53-2.59, 1 Nb 2.82
Nb5 0.1250 0.8750 0.7500  8 Zr 2.82-3.15
Tc9 0.2500 0.3750 0.6250  4 Zr 2.53
Tc10 0.0000 0.0000 0.5000  6 Zr 2.59
Tc11 0.1250 0.3750 0.2500  4 Zr 2.53
Zr20 0.7183 0.1158 0.0456  2 Tc 2.53-2.59, 1 Nb 2.82
Nb6 0.6250 0.2500 0.3750  8 Zr 2.82-3.15
Tc12 0.5000 0.5000 0.0000  6 Zr 2.59
Tc13 0.7500 0.1250 0.8750  4 Zr 2.53
Tc14 0.7500 0.6250 0.3750  4 Zr 2.53
Zr21 0.3975 0.2817 0.3273  2 Tc 2.53-2.59, 1 Nb 2.82
Zr22 0.1727 0.0703 0.9544  2 Tc 2.53-2.59, 1 Nb 2.82
Nb7 0.8750 0.1250 0.2500  8 Zr 2.82-3.15
Zr23 0.6025 0.7183 0.6727  2 Tc 2.53-2.59, 1 Nb 2.82
Zr24 0.6025 0.8842 0.4297  2 Tc 2.53-2.59, 1 Nb 2.82
Zr25 0.7817 0.4544 0.3842  2 Tc 2.53-2.59, 1 Nb 2.82
Tc15 0.6250 0.8750 0.2500  4 Zr 2.53
Zr26 0.2183 0.6727 0.1025  2 Tc 2.53-2.59, 1 Nb 2.82
Zr27 0.3842 0.9544 0.7817  2 Tc 2.53-2.59, 1 Nb 2.82
Zr28 0.3975 0.1158 0.5703  2 Tc 2.53-2.59, 1 Nb 2.82
Zr29 0.9297 0.8273 0.5456  2 Tc 2.53-2.59, 1 Nb 2.82
Zr30 0.6158 0.5703 0.8975  2 Tc 2.53-2.59, 1 Nb 2.82
Zr31 0.6727 0.2183 0.6025  2 Tc 2.53-2.59, 1 Nb 2.82
Zr32 0.8273 0.9297 0.0456  2 Tc 2.53-2.59, 1 Nb 2.82
Zr33 0.8842 0.2817 0.4544  2 Tc 2.53-2.59, 1 Nb 2.82
Zr34 0.1158 0.3975 0.0703  2 Tc 2.53-2.59, 1 Nb 2.82
Zr35 0.8975 0.8273 0.7817  2 Tc 2.53-2.59, 1 Nb 2.82
Zr36 0.9297 0.1025 0.8842  2 Tc 2.53-2.59, 1 Nb 2.82
Zr37 0.1727 0.1025 0.7183  2 Tc 2.53-2.59, 1 Nb 2.82
Tc16 0.1250 0.7500 0.3750  4 Zr 2.53
Zr38 0.1158 0.7183 0.5456  2 Tc 2.53-2.59, 1 Nb 2.82
Nb8 0.3750 0.6250 0.2500  8 Zr 2.82-3.15
Zr39 0.4544 0.6727 0.0703  2 Tc 2.53-2.59, 1 Nb 2.82
Nb9 0.6250 0.3750 0.7500  8 Zr 2.82-3.15
Zr40 0.5703 0.9544 0.6727  2 Tc 2.53-2.59, 1 Nb 2.82
Nb10 0.2500 0.6250 0.8750  8 Zr 2.82-3.15
Nb11 0.7500 0.3750 0.1250  8 Zr 2.82-3.15
Nb12 0.3750 0.7500 0.6250  8 Zr 2.82-3.15
Zr41 0.7817 0.3273 0.8975  2 Tc 2.53-2.59, 1 Nb 2.82
Tc17 0.8750 0.2500 0.6250  4 Zr 2.53
Zr42 0.8842 0.6025 0.9297  2 Tc 2.53-2.59, 1 Nb 2.82
Zr43 0.0456 0.6158 0.7183  2 Tc 2.53-2.59, 1 Nb 2.82
Tc18 0.3750 0.1250 0.7500  4 Zr 2.53
Zr44 0.4544 0.7817 0.8842  2 Tc 2.53-2.59, 1 Nb 2.82
Zr45 0.5456 0.2183 0.1158  2 Tc 2.53-2.59, 1 Nb 2.82
Zr46 0.1025 0.1727 0.2183  2 Tc 2.53-2.59, 1 Nb 2.82
Zr47 0.2183 0.5456 0.6158  2 Tc 2.53-2.59, 1 Nb 2.82
Zr48 0.5456 0.3273 0.9297  2 Tc 2.53-2.59, 1 Nb 2.82
Tc19 0.5000 0.0000 0.5000  6 Zr 2.59
Tc20 0.2500 0.8750 0.1250  4 Zr 2.53

Output
total DFT energy (no corrections): -8.375 eV/atom
energy of formation from the pure elements: 0.86 eV per atom

(9)
The following is a DFT calculation (PBE) of crystalline ZrNbTc at its relaxed geometry.

a b c (Å): 4.5315 4.5315 3.0523
angles (deg): 90.00 90.00 120.00
With the nearest neighbours (Å) after each atom.
Fractional positions:
Nb1 0.6667 0.3333 0.0269  3 Tc 2.76, 3 Zr 2.86, 2 Nb 3.05
Zr1 0.3333 0.6667 0.4078  3 Tc 2.80, 3 Nb 2.86, 2 Zr 3.05
Tc1 0.0000 0.0000 0.7380  3 Nb 2.76, 3 Zr 2.80, 2 Tc 3.05

Output
total DFT energy (no corrections): -9.805 eV/atom
energy of formation from the pure elements: -0.14 eV per atom

(10)
The following is a DFT calculation (PBE) of crystalline Zr2NbTc2 at its relaxed geometry.

a b c (Å): 3.1763 3.1948 9.7280
angles (deg): 80.55 90.00 90.00
With the nearest neighbours (Å) after each atom.
Fractional positions:
Tc1 0.5000 0.4170 0.1660  4 Nb 2.76, 4 Zr 2.80
Nb1 0.0000 0.0000 0.0000  8 Tc 2.76
Zr1 0.0000 0.8300 0.3400  4 Tc 2.80
Tc2 0.5000 0.5830 0.8340  4 Nb 2.76, 4 Zr 2.80
Zr2 0.0000 0.1700 0.6600  4 Tc 2.80

Output
total DFT energy (no corrections): -9.730 eV/atom
energy of formation from the pure elements: -0.15 eV per atom